<one>
A plane-wave DFT calculation with PBE-GGA was carried out for an optimized crystal structure of ErTmSc6.

```
ErTmSc6
1.0
5.2698 0.0000 0.0000
0.0000 6.7489 -0.2182
0.0000 -3.1837 5.9548
Er Tm Sc
1 1 6
direct
0.5000 0.4165 0.5835
0.0000 0.0834 0.9166
0.0000 0.0775 0.4137
0.0000 0.5863 0.9225
0.0000 0.5861 0.4139
0.5000 0.4223 0.0863
0.5000 0.9137 0.5777
0.5000 0.9138 0.0862
```

Computed properties:
**Density of states at the Fermi level**: 15.412 states/eV/cell
**Size of the total moment**: 0.2585 μB/atom

<two>
A plane-wave DFT calculation with PBE-GGA was carried out for an optimized crystal structure of ErTmSc6.

```
ErTmSc6
1.0
4.6814 0.0000 0.0000
0.0000 6.6046 -0.7471
0.0000 0.7404 6.6054
Er Tm Sc
1 1 6
direct
0.5000 0.5000 0.5000
0.5000 0.0000 0.0000
0.5000 0.0000 0.5000
0.5000 0.5000 0.0000
0.0000 0.2498 0.2498
0.0000 0.7502 0.7502
0.0000 0.7502 0.2498
0.0000 0.2498 0.7502
```

Computed properties:
**Density of states at the Fermi level**: 15.249 states/eV/cell
**Size of the total moment**: 0.0018 μB/atom

Which structure loses on stability? <two> does.

<one>
A plane-wave DFT calculation with PBE-GGA was carried out for an optimized crystal structure of ErTm3Sc4.

```
ErTm3Sc4
1.0
-0.5787 -5.9145 -0.4796
6.7636 -0.5697 -1.1357
1.6793 -1.0167 10.5107
Er Tm Sc
2 6 8
direct
0.1443 0.3677 0.0000
0.6443 0.6323 0.5000
0.6438 0.6319 0.0000
0.9848 0.6322 0.2498
0.4848 0.3678 0.2502
0.1438 0.3681 0.5000
0.4848 0.3678 0.7498
0.9848 0.6322 0.7502
0.1502 0.8813 0.0000
0.6507 0.1187 0.0000
0.9783 0.1187 0.2503
0.4783 0.8813 0.2497
0.1507 0.8813 0.5000
0.6502 0.1187 0.5000
0.4783 0.8813 0.7503
0.9783 0.1187 0.7497
```

Computed properties:
**Density of states at the Fermi level**: 31.116 states/eV/cell
**Size of the total moment**: 0.0003 μB/atom

<two>
A plane-wave DFT calculation with PBE-GGA was carried out for an optimized crystal structure of ErTm3Sc4.

```
ErTm3Sc4
1.0
3.7289 0.0000 0.0000
0.0000 5.4122 0.0000
0.0000 0.0000 10.8244
Sc Tm Er
4 3 1
direct
0.0000 0.0000 0.5000
0.0000 0.5000 0.7493
0.0000 0.0000 0.0000
0.0000 0.5000 0.2507
0.5000 0.0000 0.2501
0.5000 0.5000 0.5000
0.5000 0.0000 0.7499
0.5000 0.5000 0.0000
```

Computed properties:
**Density of states at the Fermi level**: 14.310 states/eV/cell
**Size of the total moment**: 0.0000 μB/atom

Which structure loses on stability? <two> does.